Entry from Alexandria: La2Pr3In4 after structural relaxation (GGA-PBE).

```
9
Lattice="4.783 -2.766 0.000 4.783 2.766 0.000 -0.014 0.000 10.554" Properties=species:S:1:pos:R:3 pbc="T T T"
La 1.591 0.000 2.975
La 7.961 0.000 7.579
Pr 1.583 0.000 9.744
Pr 4.776 0.000 5.277
Pr 7.969 0.000 0.810
In 1.584 0.000 6.354
In 4.779 0.000 1.570
In 4.773 0.000 8.984
In 7.968 0.000 4.201
```

Calculated formation energy   -417 meV per atom
Crystal system   monoclinic
Energy above the most stable polymorph in this dataset   0.0000 eV per atom
Density of states at the Fermi level   10.45 states/eV/f.u.

=====

Entry from Alexandria: La3Pr5Pt2 after structural relaxation (GGA-PBE).

```
20
Lattice="-6.443 7.281 3.615 6.443 -7.281 3.615 6.443 7.281 -3.615" Properties=species:S:1:pos:R:3 pbc="T T T"
La 3.050 2.534 0.000
La 0.000 0.000 1.808
La 3.050 -2.534 3.615
La 3.393 9.815 0.000
La 0.000 0.000 5.423
La 3.393 4.747 3.615
Pr 6.443 -3.345 1.808
Pr 9.065 1.036 0.000
Pr 6.443 0.000 1.808
Pr 2.622 6.245 0.000
Pr 6.443 3.345 1.808
Pr 0.000 3.937 1.808
Pr 3.821 1.036 3.615
Pr 0.000 7.281 1.808
Pr -2.622 6.245 3.615
Pr 0.000 10.626 1.808
Pt 5.191 -5.160 3.615
Pt 5.191 5.160 0.000
Pt 1.252 2.121 3.615
Pt 1.252 12.441 0.000
```

Calculated formation energy   -328 meV per atom
Crystal system   orthorhombic
Density of states at the Fermi level   13.27 states/eV/f.u.

=====

Entry from Alexandria: Pr3Nd2Tl6 after structural relaxation (GGA-PBE).

```
11
Lattice="-3.025 3.025 11.492 3.025 -3.025 11.492 3.025 3.025 -11.492" Properties=species:S:1:pos:R:3 pbc="T T T"
Pr 0.000 0.000 0.000
Pr 0.000 0.000 3.324
Pr 0.000 0.000 19.659
Nd 0.000 0.000 9.713
Nd 0.000 0.000 13.271
Tl 3.025 0.000 1.625
Tl 0.000 0.000 6.525
Tl 3.025 0.000 9.867
Tl 0.000 3.025 1.625
Tl 0.000 0.000 16.458
Tl 0.000 3.025 9.867
```

Calculated formation energy   54 meV per atom
Crystal system   tetragonal
Density of states at the Fermi level   14.50 states/eV/f.u.

=====

Entry from Alexandria: BaLaZn3 after structural relaxation (GGA-PBE).

```
5
Lattice="5.672 0.000 0.000 0.000 5.672 0.000 0.000 0.000 5.672" Properties=species:S:1:pos:R:3 pbc="T T T"
Ba 0.000 0.000 0.000
La 2.836 2.836 2.836
Zn 0.000 2.836 2.836
Zn 2.836 0.000 2.836
Zn 2.836 2.836 0.000
```

Calculated formation energy   283 meV per atom
Crystal system   cubic
Energy above the most stable polymorph in this dataset   0.0000 eV per atom
Density of states at the Fermi level   6.45 states/eV/f.u.

=====

Entry from Alexandria: LiMnAsAu after structural relaxation (GGA-PBE).

```
4
Lattice="0.000 3.180 3.180 3.180 0.000 3.180 3.180 3.180 0.000" Properties=species:S:1:pos:R:3 pbc="T T T"
Li 0.000 0.000 0.000
Mn 3.180 3.180 3.180
As 4.771 4.771 4.771
Au 1.590 1.590 1.590
```

Calculated formation energy   -232 meV per atom
Crystal system   cubic
Density of states at the Fermi level   1.26 states/eV/f.u.

=====

Entry from Alexandria: Be2PbO after structural relaxation (GGA-PBE).

```
4
Lattice="0.000 3.039 3.039 3.039 0.000 3.039 3.039 3.039 0.000" Properties=species:S:1:pos:R:3 pbc="T T T"
Be 1.519 1.519 1.519
Be 4.558 4.558 4.558
Pb 0.000 0.000 0.000
O 3.039 3.039 3.039
```

Uncorrected formation energy   852.8 meV/atom
Crystal system   cubic
Energy above the most stable polymorph in this dataset   1.4924 eV per atom
Density of states at the Fermi level   1.16 states/eV/f.u.

=====

Entry from Alexandria: Tb2CePd9 after structural relaxation (GGA-PBE).

```
12
Lattice="4.137 0.000 0.000 0.000 4.137 0.000 0.000 0.000 12.408" Properties=species:S:1:pos:R:3 pbc="T T T"
Tb 0.000 0.000 2.043
Tb 0.000 0.000 10.366
Ce 0.000 0.000 6.204
Pd 0.000 2.069 0.000
Pd 0.000 2.069 4.161
Pd 0.000 2.069 8.247
Pd 2.069 0.000 0.000
Pd 2.069 0.000 4.161
Pd 2.069 0.000 8.247
Pd 2.069 2.069 2.081
Pd 2.069 2.069 6.204
Pd 2.069 2.069 10.327
```

Calculated formation energy   -870 meV per atom
Crystal system   tetragonal
Density of states at the Fermi level   7.23 states/eV/f.u.

=====

Entry from Alexandria: GdTiRuRh after structural relaxation (GGA-PBE).

```
4
Lattice="0.000 3.271 3.271 3.271 0.000 3.271 3.271 3.271 0.000" Properties=species:S:1:pos:R:3 pbc="T T T"
Gd 0.000 0.000 0.000
Ti 3.271 3.271 3.271
Ru 1.635 1.635 1.635
Rh 4.906 4.906 4.906
```

Calculated formation energy   -497 meV per atom
Crystal system   cubic
Density of states at the Fermi level   3.14 states/eV/f.u.

=====

> Look up the density of states at the Fermi level of the first one.

10.45 states/eV/f.u.

=====

> Which of these has the lowest density of states at the Fermi level?

Be2PbO

=====

Copy entry 7 word for word.
Entry from Alexandria: Tb2CePd9 after structural relaxation (GGA-PBE).

```
12
Lattice="4.137 0.000 0.000 0.000 4.137 0.000 0.000 0.000 12.408" Properties=species:S:1:pos:R:3 pbc="T T T"
Tb 0.000 0.000 2.043
Tb 0.000 0.000 10.366
Ce 0.000 0.000 6.204
Pd 0.000 2.069 0.000
Pd 0.000 2.069 4.161
Pd 0.000 2.069 8.247
Pd 2.069 0.000 0.000
Pd 2.069 0.000 4.161
Pd 2.069 0.000 8.247
Pd 2.069 2.069 2.081
Pd 2.069 2.069 6.204
Pd 2.069 2.069 10.327
```

Calculated formation energy   -870 meV per atom
Crystal system   tetragonal
Density of states at the Fermi level   7.23 states/eV/f.u.

=====

Repeat the third record exactly.
Entry from Alexandria: Pr3Nd2Tl6 after structural relaxation (GGA-PBE).

```
11
Lattice="-3.025 3.025 11.492 3.025 -3.025 11.492 3.025 3.025 -11.492" Properties=species:S:1:pos:R:3 pbc="T T T"
Pr 0.000 0.000 0.000
Pr 0.000 0.000 3.324
Pr 0.000 0.000 19.659
Nd 0.000 0.000 9.713
Nd 0.000 0.000 13.271
Tl 3.025 0.000 1.625
Tl 0.000 0.000 6.525
Tl 3.025 0.000 9.867
Tl 0.000 3.025 1.625
Tl 0.000 0.000 16.458
Tl 0.000 3.025 9.867
```

Calculated formation energy   54 meV per atom
Crystal system   tetragonal
Density of states at the Fermi level   14.50 states/eV/f.u.